Crystalline Li3Co2ReO6 at its relaxed geometry. Source: the Open Quantum Materials Database, functional GGA+U.

The value obtained for the total energy is -6.365 eV/atom. The crystal system is monoclinic.

The space group is C2/m (No. 12) and the conventional cell measures 5.1471, 8.9439 and 5.1169 Å, with angles of 90.00, 109.65 and 90.00 degrees. The distinct sites, in fractional coordinates, are Li at (0.0000, 0.0000, 0.0000), Li at (0.0000, 0.3278, 0.0000), Co at (0.0000, 0.1667, 0.5000), Re at (0.0000, 0.5000, 0.5000), O at (0.2381, 0.3411, 0.7398) and O at (0.2384, 0.5000, 0.2642).